Run w
## PaAlH (PBE-GGA)

Data for an optimized crystal structure of PaAlH.

**DOS at the Fermi energy**: 3.6 states/eV/cell

a b c (Å): 5.8702 5.8702 5.8702
angles (deg): 150.08 150.08 42.82
Last column: nearest neighbours and their distance in Å.
Element x y z (fractional)
Pa1 0.0000 0.0000 0.0000  4 H 2.33
Al1 0.2914 0.2914 0.0000  4 Al 3.03, 5 H 3.12-3.20, 5 Pa 3.13-3.18
H1 0.5844 0.5844 0.0000  4 Pa 2.33

=====

Run x
## PaAlH (PBE-GGA)

Data for an optimized crystal structure of PaAlH.

**DOS at the Fermi energy**: 5.6 states/eV/cell

a b c (Å): 3.1095 3.1095 11.6097
angles (deg): 90.00 90.00 120.00
Last column: nearest neighbours and their distance in Å.
Element x y z (fractional)
Pa1 0.0000 0.0000 0.0000  6 Pa 3.11, 6 Al 3.17
Pa2 0.3333 0.6667 0.5000  6 H 2.25
Al1 0.3333 0.6667 0.2248  3 H 2.57
Al2 0.3333 0.6667 0.7752  3 H 2.57
H1 0.0000 0.0000 0.3833  3 Pa 2.25
H2 0.0000 0.0000 0.6167  3 Pa 2.25

=====

Energy relative to the most stable one, in kJ/mol of atoms: run w 2.8; run x 0.0

=====

Run w
## Pa2AlH (PBE-GGA)

Data for an optimized crystal structure of Pa2AlH.

**DOS at the Fermi energy**: 4.4 states/eV/cell

a b c (Å): 2.9659 2.9659 7.6967
angles (deg): 90.00 90.00 90.00
Last column: nearest neighbours and their distance in Å.
Element x y z (fractional)
Pa1 0.0000 0.0000 0.1934  4 H 2.57
Pa2 0.0000 0.0000 0.8066  4 H 2.57
Al1 0.5000 0.5000 0.5000  4 Al 2.97, 8 Pa 3.16
H1 0.5000 0.5000 0.0000  8 Pa 2.57

=====

Run x
## Pa2AlH (PBE-GGA)

Data for an optimized crystal structure of Pa2AlH.

**DOS at the Fermi energy**: 5.1 states/eV/cell

a b c (Å): 8.4289 8.4289 8.4289
angles (deg): 21.82 21.82 21.82
Last column: nearest neighbours and their distance in Å.
Element x y z (fractional)
Pa1 0.2303 0.2303 0.2303  3 H 2.42
Pa2 0.7697 0.7697 0.7697  3 H 2.42
Al1 0.0000 0.0000 0.0000  6 Pa 3.14, 6 Al 3.19
H1 0.5000 0.5000 0.5000  6 Pa 2.42

=====

Energy relative to the most stable one, in kJ/mol of atoms: run w 15.9; run x 0.0